The following is a GGA-PBE calculation of crystalline Sm3Co3I at its relaxed geometry, from Alexandria.

Calculated values
The calculation puts the spin magnetization at 1.1 μB per formula unit. The calculation puts the density of states at the Fermi level at 1.226 states/eV/atom. The value obtained for the electronic total energy is -78.306 eV per cell.

a b c (Å): 3.9450 9.8545 9.8545
angles (deg): 120.00 90.00 90.00
Fractional coordinates of all 14 atoms:
Co 0.7500 0.0206 0.1545
Co 0.7500 0.8455 0.8662
Co 0.2500 0.8662 0.0206
Co 0.2500 0.9794 0.8455
Sm 0.2500 0.3001 0.9331
Co 0.2500 0.1545 0.1338
I 0.2500 0.6667 0.3333
Sm 0.2500 0.6330 0.6999
Sm 0.7500 0.9331 0.6330
Co 0.7500 0.1338 0.9794
Sm 0.7500 0.6999 0.0669
Sm 0.2500 0.0669 0.3670
I 0.7500 0.3333 0.6667
Sm 0.7500 0.3670 0.3001

---

The following is a GGA-PBE calculation of crystalline Sc3Cu at its relaxed geometry, from Alexandria.

Calculated values
The calculation puts the spin magnetization at 0.0 μB per formula unit. For the formation energy from the elements, the calculation gives 0.074 eV per atom. Its offset from the most stable computed form is 211 meV/atom. The calculation puts the density of states at the Fermi level at 1.605 states/eV/atom.

a b c (Å): 4.1224 5.6855 4.1224
angles (deg): 68.74 90.00 111.26
Fractional coordinates of all 4 atoms:
Cu 0.0000 0.0000 0.0000
Sc 0.5000 0.0000 0.5000
Sc 0.2500 0.5000 0.2500
Sc 0.7500 0.5000 0.7500

---

The following is a GGA-PBE calculation of crystalline Ba2SiPb at its relaxed geometry, from Alexandria.

Calculated values
The calculation puts the spin magnetization at 0.0 μB per formula unit. Its offset from the most stable computed form is 0 meV/atom. The calculation puts the density of states at the Fermi level at 0.288 states/eV/atom.

a b c (Å): 4.5594 5.2484 6.7797
angles (deg): 67.25 90.00 90.00
Fractional coordinates of all 4 atoms:
Pb 0.0000 0.6918 0.4907
Si 0.5000 0.5533 0.7694
Ba 0.0000 0.9901 0.8951
Ba 0.5000 0.2648 0.3448

---

The following is a GGA-PBE calculation of crystalline Tb6Nd3Sm2Sc at its relaxed geometry, from Alexandria.

Calculated values
The calculation puts the spin magnetization at 0.0 μB per formula unit. For the formation energy from the elements, the calculation gives 0.026 eV per atom. The calculation puts the density of states at the Fermi level at 1.336 states/eV/atom.

a b c (Å): 6.1990 6.1990 11.8594
angles (deg): 94.99 94.99 119.99
Fractional coordinates of all 12 atoms:
Tb 0.5885 0.9187 0.7544
Sc 0.0000 0.0000 0.0000
Tb 0.9187 0.5885 0.7544
Sm 0.3337 0.6663 0.0000
Nd 0.1666 0.8334 0.5000
Tb 0.7512 0.7512 0.2461
Tb 0.2488 0.2488 0.7539
Nd 0.5000 0.5000 0.5000
Sm 0.6663 0.3337 0.0000
Nd 0.8334 0.1666 0.5000
Tb 0.0813 0.4115 0.2456
Tb 0.4115 0.0813 0.2456

---

The following is a GGA-PBE calculation of crystalline HfBiN2F at its relaxed geometry, from Alexandria.

Calculated values
The calculation puts the spin magnetization at 0.0 μB per formula unit. Its offset from the most stable computed form is 0 meV/atom. The calculation puts the density of states at the Fermi level at 0.201 states/eV/atom.

a b c (Å): 4.3111 4.3111 4.0148
angles (deg): 90.00 90.00 90.00
Fractional coordinates of all 5 atoms:
Hf 0.0000 0.0000 0.0000
N 0.0000 0.5000 0.0000
N 0.5000 0.0000 0.0000
F 0.0000 0.0000 0.5000
Bi 0.5000 0.5000 0.5000

---

The following is a GGA-PBE calculation of crystalline Tl2FeIr at its relaxed geometry, from Alexandria.

Calculated values
The calculation puts the spin magnetization at 2.9 μB per formula unit. For the formation energy from the elements, the calculation gives 0.647 eV per atom. Its offset from the most stable computed form is 294 meV/atom. The calculation puts the density of states at the Fermi level at 0.724 states/eV/atom.

a b c (Å): 4.7589 4.7589 5.4505
angles (deg): 79.45 79.45 38.50
Fractional coordinates of all 4 atoms:
Tl 0.0003 0.0003 0.9991
Fe 0.7500 0.7500 0.7500
Ir 0.2500 0.2500 0.2500
Tl 0.4997 0.4997 0.5009

---

The following is a GGA-PBE calculation of crystalline Th3In at its relaxed geometry, from Alexandria.

Calculated values
The calculation puts the spin magnetization at 0.0 μB per formula unit. For the formation energy from the elements, the calculation gives -0.154 eV per atom. The calculation puts the density of states at the Fermi level at 1.380 states/eV/atom.

a b c (Å): 4.9510 4.9510 4.9510
angles (deg): 90.00 90.00 90.00
Fractional coordinates of all 4 atoms:
Th 0.5000 0.5000 0.0000
In 0.0000 0.0000 0.0000
Th 0.5000 0.0000 0.5000
Th 0.0000 0.5000 0.5000

---

The following is a GGA-PBE calculation of crystalline LiAs2Pt at its relaxed geometry, from Alexandria.

Calculated values
The calculation puts the spin magnetization at 0.0 μB per formula unit. For the formation energy from the elements, the calculation gives -0.365 eV per atom. The calculation puts the density of states at the Fermi level at 0.248 states/eV/atom.

a b c (Å): 4.1368 2.9178 5.6182
angles (deg): 90.00 90.00 90.00
Fractional coordinates of all 4 atoms:
As 0.0000 0.7500 0.0132
As 0.0000 0.7500 0.4868
Li 0.5000 0.2500 0.2500
Pt 0.5000 0.7500 0.7500

---

The following is a GGA-PBE calculation of crystalline Pm2FeH6 at its relaxed geometry, from Alexandria.

Calculated values
The calculation puts the spin magnetization at 1.1 μB per formula unit. The calculation puts the density of states at the Fermi level at 0.356 states/eV/atom. The value obtained for the electronic total energy is -42.562 eV per cell.

a b c (Å): 5.0339 5.0339 5.0339
angles (deg): 60.00 60.00 60.00
Fractional coordinates of all 9 atoms:
Pm 0.7500 0.7500 0.7500
H 0.2311 0.2311 0.7689
H 0.2311 0.7689 0.7689
H 0.7689 0.2311 0.2311
Fe 0.0000 0.0000 0.0000
Pm 0.2500 0.2500 0.2500
H 0.2311 0.7689 0.2311
H 0.7689 0.2311 0.7689
H 0.7689 0.7689 0.2311

---

The following is a GGA-PBE calculation of crystalline PuUIn at its relaxed geometry, from Alexandria.

Calculated values
The calculation puts the spin magnetization at 4.6 μB per formula unit. For the formation energy from the elements, the calculation gives 0.122 eV per atom. Its offset from the most stable computed form is 32 meV/atom. The calculation puts the density of states at the Fermi level at 2.086 states/eV/atom.

a b c (Å): 3.5783 5.3667 9.3647
angles (deg): 119.40 90.00 109.47
Fractional coordinates of all 6 atoms:
U 0.4269 0.8539 0.8457
U 0.5731 0.1461 0.1543
Pu 0.0851 0.1702 0.8050
Pu 0.9149 0.8298 0.1950
In 0.3373 0.6745 0.4449
In 0.6627 0.3255 0.5551

---

The following is a GGA-PBE calculation of crystalline CaSbI3 at its relaxed geometry, from Alexandria.

Calculated values
The calculation puts the spin magnetization at 0.0 μB per formula unit. Its offset from the most stable computed form is 182 meV/atom. The calculation puts the density of states at the Fermi level at 0.783 states/eV/atom.

a b c (Å): 6.0946 6.0946 6.0946
angles (deg): 90.00 90.00 90.00
Fractional coordinates of all 5 atoms:
I 0.5000 0.0000 0.0000
Sb 0.0000 0.0000 0.0000
I 0.0000 0.5000 0.0000
I 0.0000 0.0000 0.5000
Ca 0.5000 0.5000 0.5000

---

The following is a GGA-PBE calculation of crystalline PrEr2In at its relaxed geometry, from Alexandria.

Calculated values
The calculation puts the spin magnetization at 0.0 μB per formula unit. For the formation energy from the elements, the calculation gives -0.129 eV per atom. Its offset from the most stable computed form is 127 meV/atom. The calculation puts the density of states at the Fermi level at 1.399 states/eV/atom.

a b c (Å): 3.5958 3.5958 11.1546
angles (deg): 80.72 80.72 60.00
Fractional coordinates of all 4 atoms:
Er 0.2574 0.2574 0.2277
Pr 0.5000 0.5000 0.5001
In 0.6665 0.6665 0.0006
Er 0.0761 0.0761 0.7716

---

The following is a GGA-PBE calculation of crystalline LiFeH2 at its relaxed geometry, from Alexandria.

Calculated values
The calculation puts the spin magnetization at 2.3 μB per formula unit. Its offset from the most stable computed form is 78 meV/atom. The calculation puts the density of states at the Fermi level at 0.488 states/eV/atom.

a b c (Å): 4.5273 4.5273 4.3378
angles (deg): 58.54 58.54 90.00
Fractional coordinates of all 8 atoms:
Fe 0.0000 0.0000 0.0000
Li 0.2500 0.7500 0.5000
Fe 0.7500 0.2500 0.5000
H 0.0966 0.6250 0.2500
H 0.6534 0.1250 0.2500
H 0.3750 0.3466 0.7500
Li 0.5000 0.5000 0.0000
H 0.8750 0.9034 0.7500